A plane-wave DFT calculation with PBE-GGA was carried out for a relaxed Li3CdSe crystal.

## Properties
calculated total energy = -2.0213 eV/atom
magnetic moment = 0.00 μB/f.u.
offset from the most stable computed form = 593 meV/atom
uncorrected formation energy = 0.007 eV per atom

Cell lengths 4.935, 4.935, 4.935 Å; angles 90.00, 90.00, 90.00 degrees
Space group Pm-3m (No. 221)
Symmetry-distinct sites (fractional):
Li  0.000  0.000  0.500
Cd  0.000  0.000  0.000
Se  0.500  0.500  0.500

=====

A plane-wave DFT calculation with PBE-GGA was carried out for a relaxed LiCdSe4 crystal.

## Properties
calculated total energy = -2.6807 eV/atom
magnetic moment = 0.00 μB/f.u.
uncorrected formation energy = 0.114 eV per atom

Cell lengths 8.234, 8.234, 8.234 Å; angles 90.00, 90.00, 90.00 degrees
Space group F-43m (No. 216)
Symmetry-distinct sites (fractional):
Li  0.000  0.000  0.000
Cd  0.250  0.250  0.250
Se  0.124  0.124  0.624

=====

A plane-wave DFT calculation with PBE-GGA was carried out for a relaxed LiCd4Se crystal.

## Properties
calculated total energy = -1.4814 eV/atom
magnetic moment = 0.00 μB/f.u.
uncorrected formation energy = 0.028 eV per atom

Cell lengths 8.312, 8.312, 8.312 Å; angles 90.00, 90.00, 90.00 degrees
Space group F-43m (No. 216)
Symmetry-distinct sites (fractional):
Li  0.000  0.000  0.000
Cd  0.125  0.125  0.375
Se  0.250  0.250  0.750

=====

A plane-wave DFT calculation with PBE-GGA was carried out for a relaxed LiCdSe3 crystal.

## Properties
calculated total energy = -2.5090 eV/atom
magnetic moment = 0.00 μB/f.u.
offset from the most stable computed form = 0 meV/atom
uncorrected formation energy = 0.148 eV per atom

Cell lengths 5.287, 5.287, 5.287 Å; angles 90.00, 90.00, 90.00 degrees
Space group Pm-3m (No. 221)
Symmetry-distinct sites (fractional):
Li  0.000  0.000  0.000
Cd  0.500  0.500  0.500
Se  0.000  0.500  0.500

=====

A plane-wave DFT calculation with PBE-GGA was carried out for a relaxed Li3CdSe crystal.

## Properties
calculated total energy = -2.6139 eV/atom
magnetic moment = 0.00 μB/f.u.
offset from the most stable computed form = 0 meV/atom
uncorrected formation energy = -0.586 eV per atom

Cell lengths 4.868, 4.868, 4.868 Å; angles 90.00, 90.00, 90.00 degrees
Space group Pm-3m (No. 221)
Symmetry-distinct sites (fractional):
Li  0.000  0.000  0.500
Cd  0.500  0.500  0.500
Se  0.000  0.000  0.000

=====

A plane-wave DFT calculation with PBE-GGA was carried out for a relaxed Li2CdSiSe4 crystal.

## Properties
calculated total energy = -3.8487 eV/atom
magnetic moment = 0.00 μB/f.u.
uncorrected formation energy = -0.836 eV per atom

Cell lengths 8.109, 7.217, 6.765 Å; angles 90.00, 90.00, 90.00 degrees
Space group Pmn2_1 (No. 31)
Symmetry-distinct sites (fractional):
Li  0.245  0.175  0.000
Cd  0.000  0.356  0.495
Si  0.000  0.676  0.996
Se  0.000  0.373  0.894
Se  0.000  0.694  0.336
Se  0.226  0.834  0.879

=====

A plane-wave DFT calculation with PBE-GGA was carried out for a relaxed LiCdSn2Se4 crystal.

## Properties
calculated total energy = -3.6810 eV/atom
magnetic moment = 0.00 μB/f.u.
uncorrected formation energy = -0.584 eV per atom

Cell lengths 8.262, 11.408, 8.248 Å; angles 90.00, 90.00, 90.00 degrees
Space group Fmm2 (No. 42)
Symmetry-distinct sites (fractional):
Li  0.000  0.000  0.000
Cd  0.000  0.000  0.500
Sn  0.250  0.250  0.251
Se  0.000  0.249  0.501
Se  0.250  0.000  0.250

=====

A plane-wave DFT calculation with PBE-GGA was carried out for a relaxed Li2CdSnSe crystal.

## Properties
calculated total energy = -2.2811 eV/atom
magnetic moment = 0.00 μB/f.u.
uncorrected formation energy = 0.165 eV per atom

Cell lengths 4.987, 4.987, 5.535 Å; angles 90.00, 90.00, 90.00 degrees
Space group P4/mmm (No. 123)
Symmetry-distinct sites (fractional):
Li  0.000  0.500  0.000
Cd  0.000  0.000  0.000
Sn  0.000  0.000  0.500
Se  0.500  0.500  0.500